Below is Hg6PdBr2 after structural relaxation, with properties calculated at the GGA-PBE level.

## Properties
The formation energy from raw total energies comes out at -0.160 eV per atom. Its total magnetic moment is 0.00 μB per formula unit. As for the volume: 1056 Å³/cell. For the density of states at the Fermi level, the calculation gives 0.182 states/eV/atom.

Unit cell a=7.8932 b=16.8421 c=8.2819 alpha=90.00 beta=106.49 gamma=90.00
Closest atoms and distances in Å follow each position.
Space group C2/c (No. 15)
Inequivalent atoms, fractional coordinates:
Hg 0.1152 0.0979 0.4951  2 Pd 2.76-2.87, 1 Br 2.94, 2 Hg 3.02-3.07
Hg 0.1780 0.4415 0.7502  2 Hg 2.81-3.02, 1 Pd 2.84
Hg 0.2481 0.3704 0.1252  1 Br 2.71, 1 Pd 2.73
Pd 0.0000 0.0167 0.7500  8 Hg 2.73-2.87
Br 0.0174 0.2658 0.5026  2 Hg 2.71-2.94